# 1
Entry from Alexandria: a relaxed Tc3Ag crystal (PBE-GGA).

## Properties
E above lowest polymorph = 0.95 eV per formula unit
Calculated total energy = -8.03 eV/atom
Space group = Cmmm, No. 65
Formation energy = 460 meV/atom
Magnetization = 0.0 μB per cell

Cell lengths 5.529, 7.935, 2.754 Å; angles 90.00, 90.00, 90.00 degrees
Sites, in units of the cell vectors:
Tc1 0.000 0.000 0.000
Tc2 0.250 0.250 0.500
Tc3 0.250 0.750 0.500
Tc4 0.500 0.500 0.000
Tc5 0.750 0.250 0.500
Tc6 0.750 0.750 0.500
Ag1 0.000 0.500 0.000
Ag2 0.500 0.000 0.000

# 2
Entry from Alexandria: a relaxed Tc2Ag crystal (PBE-GGA).

## Properties
E above lowest polymorph = 1.95 eV per formula unit
Calculated total energy = -6.99 eV/atom
Space group = I4_1/amd, No. 141
Formation energy = 871 meV/atom
Magnetization = 0.0 μB per cell

Cell lengths 3.579, 3.579, 16.643 Å; angles 90.00, 90.00, 90.00 degrees
Sites, in units of the cell vectors:
Tc1 0.000 0.250 0.293
Tc2 0.000 0.250 0.457
Tc3 0.000 0.750 0.543
Tc4 0.000 0.750 0.707
Tc5 0.500 0.250 0.043
Tc6 0.500 0.250 0.207
Tc7 0.500 0.750 0.793
Tc8 0.500 0.750 0.957
Ag1 0.000 0.250 0.875
Ag2 0.000 0.750 0.125
Ag3 0.500 0.250 0.625
Ag4 0.500 0.750 0.375